# TmCuB5O10 | Alexandria | SCAN | PBEsol geometry
# **Raw total energy**: -846.32 eV per cell
# **Formation energy from raw total energies**: -4350 kJ/mol of formula units
data_TmCuB5O10
_symmetry_space_group_name_H-M 'I b a m'
_symmetry_Int_Tables_number 72
_symmetry_space_group_name_Hall '-I 2 2c'
_cell_length_a 6.131
_cell_length_b 8.481
_cell_length_c 12.613
_cell_angle_alpha 90.00
_cell_angle_beta 90.00
_cell_angle_gamma 90.00
loop_
_atom_site_label
_atom_site_fract_x
_atom_site_fract_y
_atom_site_fract_z
Tm1 0.000 0.000 0.250
Cu1 0.000 0.000 0.000
B1 0.000 0.500 0.250
B2 0.119 0.308 0.099
O1 0.064 0.155 0.112
O2 0.148 0.376 0.000
O3 0.153 0.405 0.187

***

# CrMoSe2 | Alexandria | SCAN | PBEsol geometry
# **Raw total energy**: -188.08 eV per cell
# **Formation energy from raw total energies**: -59 kJ/mol of formula units
# **Energy above the most stable polymorph in this dataset**: 0.0000 eV/atom
data_CrMoSe2
_symmetry_space_group_name_H-M 'I m m 2'
_symmetry_Int_Tables_number 44
_cell_length_a 3.329
_cell_length_b 3.348
_cell_length_c 11.584
_cell_angle_alpha 90.00
_cell_angle_beta 90.00
_cell_angle_gamma 90.00
loop_
_symmetry_equiv_pos_as_xyz
'x,y,z'
'-x,-y,z'
'-x,y,z'
'x,-y,z'
'x+1/2,y+1/2,z+1/2'
'-x+1/2,-y+1/2,z+1/2'
'-x+1/2,y+1/2,z+1/2'
'x+1/2,-y+1/2,z+1/2'
loop_
_atom_site_label
_atom_site_fract_x
_atom_site_fract_y
_atom_site_fract_z
Cr1 0.000 0.000 0.000
Mo1 0.000 0.500 0.266
Se1 0.000 0.000 0.433
Se2 0.000 0.500 0.675

***

# KNa2P2 | Alexandria | SCAN | PBEsol geometry
# **Raw total energy**: -79.31 eV per cell
data_KNa2P2
_symmetry_space_group_name_H-M 'I 4/m m m'
_symmetry_Int_Tables_number 139
_symmetry_space_group_name_Hall '-I 4 2'
_cell_length_a 4.662
_cell_length_b 4.662
_cell_length_c 11.307
_cell_angle_alpha 90.00
_cell_angle_beta 90.00
_cell_angle_gamma 90.00
loop_
_atom_site_label
_atom_site_fract_x
_atom_site_fract_y
_atom_site_fract_z
K1 0.000 0.000 0.000
Na1 0.000 0.500 0.250
P1 0.000 0.000 0.405

***

# MgCrIn2 | Alexandria | SCAN | PBEsol geometry
# **Raw total energy**: -89.90 eV per cell
data_MgCrIn2
_symmetry_space_group_name_H-M 'P 4 m m'
_symmetry_Int_Tables_number 99
_cell_length_a 3.704
_cell_length_b 3.704
_cell_length_c 5.966
_cell_angle_alpha 90.00
_cell_angle_beta 90.00
_cell_angle_gamma 90.00
loop_
_symmetry_equiv_pos_as_xyz
'x,y,z'
'-y,x,z'
'-x,-y,z'
'y,-x,z'
'-x,y,z'
'y,x,z'
'x,-y,z'
'-y,-x,z'
loop_
_atom_site_label
_atom_site_fract_x
_atom_site_fract_y
_atom_site_fract_z
Mg1 0.000 0.000 0.000
Cr1 0.500 0.500 0.251
In1 0.000 0.000 0.472
In2 0.500 0.500 0.752

***

Q: Which value of raw total energy does entry 4 give?
A: -89.90 eV per cell

***

Copy entry 4 word for word.
# MgCrIn2 | Alexandria | SCAN | PBEsol geometry
# **Raw total energy**: -89.90 eV per cell
data_MgCrIn2
_symmetry_space_group_name_H-M 'P 4 m m'
_symmetry_Int_Tables_number 99
_cell_length_a 3.704
_cell_length_b 3.704
_cell_length_c 5.966
_cell_angle_alpha 90.00
_cell_angle_beta 90.00
_cell_angle_gamma 90.00
loop_
_symmetry_equiv_pos_as_xyz
'x,y,z'
'-y,x,z'
'-x,-y,z'
'y,-x,z'
'-x,y,z'
'y,x,z'
'x,-y,z'
'-y,-x,z'
loop_
_atom_site_label
_atom_site_fract_x
_atom_site_fract_y
_atom_site_fract_z
Mg1 0.000 0.000 0.000
Cr1 0.500 0.500 0.251
In1 0.000 0.000 0.472
In2 0.500 0.500 0.752